No. 1
# PBE-GGA Sm2Ga3AgPd4, optimized geometry
# Uncorrected energy (eV per atom): -4.92
# Formation energy (eV per atom): -0.70
# DOS(E_F) (states/eV/atom): 0.3521
# V (Å³ per cell): 194
data_Sm2Ga3AgPd4
_space_group_name_H-M_alt 'P -4 m 2'
_space_group_IT_number 115
_cell_length_a 4.045
_cell_length_b 4.045
_cell_length_c 11.833
_cell_angle_alpha 90.00
_cell_angle_beta 90.00
_cell_angle_gamma 90.00
loop_
_space_group_symop_operation_xyz
'x,y,z'
'y,-x,-z'
'-x,-y,z'
'-y,x,-z'
'-x,y,z'
'-y,-x,-z'
'x,-y,z'
'y,x,-z'
loop_
_atom_site_label
_atom_site_type_symbol
_atom_site_fract_x
_atom_site_fract_y
_atom_site_fract_z
Sm1 Sm 0.000 0.500 0.248
Ga1 Ga 0.000 0.000 0.000
Ga2 Ga 0.000 0.500 0.629
Ag1 Ag 0.500 0.500 0.000
Pd1 Pd 0.000 0.000 0.500
Pd2 Pd 0.000 0.500 0.841
Pd3 Pd 0.500 0.500 0.500


No. 2
# PBE-GGA Sm2Ga2AgPd5, optimized geometry
# Uncorrected energy (eV per atom): -5.06
# Formation energy (eV per atom): -0.63
# DOS(E_F) (states/eV/atom): 0.5882
# V (Å³ per cell): 373
data_Sm2Ga2AgPd5
_space_group_name_H-M_alt 'P 4/m b m'
_space_group_IT_number 127
_space_group_name_Hall '-P 4 2ab'
_cell_length_a 9.906
_cell_length_b 9.906
_cell_length_c 3.798
_cell_angle_alpha 90.00
_cell_angle_beta 90.00
_cell_angle_gamma 90.00
loop_
_atom_site_label
_atom_site_type_symbol
_atom_site_fract_x
_atom_site_fract_y
_atom_site_fract_z
Sm1 Sm 0.178 0.322 0.000
Ga1 Ga 0.120 0.620 0.000
Ag1 Ag 0.000 0.000 0.000
Pd1 Pd 0.000 0.500 0.500
Pd2 Pd 0.064 0.791 0.500


No. 3
# PBE-GGA SmGaAgPd, optimized geometry
# Uncorrected energy (eV per atom): -4.43
# Formation energy (eV per atom): -0.48
# DOS(E_F) (states/eV/atom): 0.8409
# V (Å³ per cell): 319
data_SmGaAgPd
_space_group_name_H-M_alt 'F -4 3 m'
_space_group_IT_number 216
_space_group_name_Hall 'F -4 2 3'
_cell_length_a 6.835
_cell_length_b 6.835
_cell_length_c 6.835
_cell_angle_alpha 90.00
_cell_angle_beta 90.00
_cell_angle_gamma 90.00
loop_
_atom_site_label
_atom_site_type_symbol
_atom_site_fract_x
_atom_site_fract_y
_atom_site_fract_z
Sm1 Sm 0.000 0.000 0.000
Ga1 Ga 0.000 0.000 0.500
Ag1 Ag 0.250 0.250 0.250
Pd1 Pd 0.250 0.250 0.750


- The highest formation energy belongs to which entry?
  SmGaAgPd


- Which of these has the highest DOS(E_F)?
  SmGaAgPd